First-principles (PBE with a Hubbard U) data for a relaxed structure of KTbCr2O8, as listed in Alexandria.

Calculated values
For the total magnetization, the calculation gives 0.0 μB/f.u. The calculation puts the raw total energy at -6.926 eV/atom.

abc: 5.7891 5.7891 7.6910
angles: 90.00 90.00 120.00
With the nearest neighbours (Å) after each atom.
Positions (direct):
K1 0.0000 0.0000 0.0000  6 O 2.99
Tb1 0.0000 0.0000 0.5000  6 O 2.26
Cr1 0.6667 0.3333 0.2426  4 O 1.62-1.68
Cr2 0.3333 0.6667 0.7574  4 O 1.62-1.68
O1 0.3333 0.6667 0.9678  1 Cr 1.62
O2 0.3500 0.1759 0.3142  1 Cr 1.68
O3 0.8241 0.1741 0.3142  1 Cr 1.68
O4 0.6667 0.3333 0.0322  1 Cr 1.62
O5 0.1759 0.8259 0.6858  1 Cr 1.68
O6 0.6500 0.8241 0.6858  1 Cr 1.68
O7 0.1741 0.3500 0.6858  1 Cr 1.68
O8 0.8259 0.6500 0.3142  1 Cr 1.68